{"formula": "CeFe4C4", "functional": "PBE", "state": "relaxed", "e_form_ev_per_atom": 0.02, "energy_ev_per_fu": -76.5, "lattice_angstrom": [[7.068, 0.000, 0.000], [0.000, 7.068, 0.000], [0.000, 0.000, 3.582]], "species": ["Ce", "Ce", "Fe", "Fe", "Fe", "Fe", "Fe", "Fe", "Fe", "Fe", "C", "C", "C", "C", "C", "C", "C", "C"], "fractional_positions": [[0.250, 0.250, 0.250], [0.750, 0.750, 0.750], [0.093, 0.654, 0.120], [0.154, 0.907, 0.620], [0.346, 0.593, 0.620], [0.407, 0.846, 0.120], [0.593, 0.154, 0.880], [0.654, 0.407, 0.380], [0.846, 0.093, 0.380], [0.907, 0.346, 0.880], [0.035, 0.922, 0.126], [0.078, 0.535, 0.626], [0.422, 0.965, 0.626], [0.465, 0.578, 0.126], [0.535, 0.422, 0.874], [0.578, 0.035, 0.374], [0.922, 0.465, 0.374], [0.965, 0.078, 0.874]]}

=====

{"formula": "Re2RuRh", "functional": "PBE", "state": "relaxed", "e_form_ev_per_atom": -0.01, "e_above_lowest_polymorph_mev_per_atom": 133.5, "energy_ev_per_fu": -41.6, "lattice_angstrom": [[0.000, 2.765, 3.796], [2.759, 0.000, 3.796], [2.759, 2.765, 0.000]], "species": ["Re", "Re", "Ru", "Rh"], "fractional_positions": [[0.000, 0.000, 0.000], [0.250, 0.250, 0.250], [0.500, 0.500, 0.500], [0.750, 0.750, 0.750]]}